# 1
Cu2PbAu, optimized geometry, DFT GGA-PBE; total magnetization = 0.00 μB/atom; total DFT energy (no corrections) = -3.6758 eV per atom; DFT formation energy = 0.12 eV/atom
1.0
-2.683 -1.870 -0.032
0.811 -1.114 -2.966
3.470 -5.027 2.838
Au Cu Pb
1 2 1
direct
0.500 0.500 0.806 Au
0.000 0.000 0.022 Cu
0.500 0.500 0.194 Cu
0.000 0.000 0.479 Pb

=====

# 2
NiSbTe, optimized geometry, DFT GGA-PBE; total magnetization = 0.00 μB/atom; total DFT energy (no corrections) = -4.5424 eV per atom
1.0
3.888 0.000 0.000
-1.944 3.367 0.000
0.000 0.000 5.258
Sb Te Ni
1 1 1
direct
0.667 0.333 0.242 Sb
0.333 0.667 0.761 Te
0.000 0.000 0.998 Ni

=====

# 3
PuCrSi2, optimized geometry, DFT GGA-PBE; total magnetization = 1.78 μB/atom; total DFT energy (no corrections) = -8.8905 eV per atom
1.0
4.050 0.000 0.000
2.025 3.508 0.000
2.025 1.169 4.974
Cr Si Pu
1 2 1
direct
0.000 0.000 0.000 Cr
0.285 0.285 0.146 Si
0.715 0.715 0.854 Si
0.500 0.500 0.500 Pu

=====

# 4
Be3GeS, optimized geometry, DFT GGA-PBE; total magnetization = 0.00 μB/atom; E above lowest polymorph = 0.000 eV per atom; total DFT energy (no corrections) = -3.3411 eV per atom
1.0
-0.688 3.502 1.980
-2.147 1.379 -3.185
-3.402 -1.578 1.610
Be Ge S
3 1 1
direct
0.000 0.500 0.000 Be
0.000 0.000 0.500 Be
0.500 0.000 0.000 Be
0.500 0.500 0.500 Ge
0.000 0.000 0.000 S

=====

Q: Among the records above, which one has the lowest total DFT energy (no corrections)?
A: PuCrSi2